The following is a PBE calculation of a relaxed ScCoTcBi crystal, from OQMD via LeMat-Bulk.

Geometry as extended XYZ:
```
4
Lattice="0.000 3.278 3.278 3.278 0.000 3.278 3.278 3.278 0.000" Properties=species:S:1:pos:R:3 pbc="T T T"
Sc 0.000 0.000 0.000
Co 3.278 3.278 3.278
Tc 4.917 4.917 4.917
Bi 1.639 1.639 1.639
```

Properties
Space group: No. 216
Raw total energy: -0.486 Ry/atom


The following is a PBE calculation of a relaxed Tm3Sc3CoBi2 crystal, from OQMD via LeMat-Bulk.

Geometry as extended XYZ:
```
9
Lattice="9.275 0.000 0.000 -4.637 8.032 0.000 0.000 0.000 3.185" Properties=species:S:1:pos:R:3 pbc="T T T"
Tm -1.327 2.298 0.000
Tm 2.653 0.000 0.000
Tm 3.311 5.734 0.000
Sc -2.987 5.174 0.000
Sc 1.650 2.858 0.000
Sc 5.975 0.000 0.000
Co 0.000 0.000 0.000
Bi 0.000 5.355 0.000
Bi 4.637 2.677 0.000
```

Properties
Space group: No. 189
Raw total energy: -0.363 Ry/atom


The following is a PBE calculation of a relaxed YScCoBi crystal, from OQMD via LeMat-Bulk.

Geometry as extended XYZ:
```
4
Lattice="0.000 3.489 3.489 3.489 0.000 3.489 3.489 3.489 0.000" Properties=species:S:1:pos:R:3 pbc="T T T"
Y 0.000 0.000 0.000
Sc 1.745 1.745 1.745
Co 5.234 5.234 5.234
Bi 3.489 3.489 3.489
```

Properties
Space group: No. 216
Raw total energy: -0.433 Ry/atom


The following is a PBE calculation of a relaxed CoBi10Se10 crystal, from OQMD via LeMat-Bulk.

Geometry as extended XYZ:
```
42
Lattice="11.296 0.000 0.000 0.000 12.737 0.000 0.000 0.000 8.862" Properties=species:S:1:pos:R:3 pbc="T T T"
Co 0.000 0.000 0.000
Co 5.648 6.369 0.000
Bi 0.000 6.369 2.125
Bi 0.000 6.369 6.737
Bi 1.484 1.046 1.901
Bi 1.484 1.046 6.961
Bi 1.494 10.615 0.000
Bi 2.799 4.244 4.431
Bi 2.849 10.613 4.431
Bi 4.154 4.247 0.000
Bi 4.164 7.414 1.901
Bi 4.164 7.414 6.961
Bi 5.648 0.000 2.125
Bi 5.648 0.000 6.737
Bi 7.132 5.323 1.901
Bi 7.132 5.323 6.961
Bi 7.142 8.491 0.000
Bi 8.447 2.124 4.431
Bi 8.497 8.493 4.431
Bi 9.802 2.122 0.000
Bi 9.812 11.692 1.901
Bi 9.812 11.692 6.961
Se 0.066 10.850 4.431
Se 1.670 7.505 0.000
Se 1.775 3.975 1.704
Se 1.775 3.975 7.158
Se 1.901 6.940 4.431
Se 3.747 0.572 4.431
Se 3.873 10.343 1.704
Se 3.873 10.343 7.158
Se 3.978 1.137 0.000
Se 5.582 4.481 4.431
Se 5.714 8.256 4.431
Se 7.318 11.600 0.000
Se 7.423 2.394 1.704
Se 7.423 2.394 7.158
Se 7.549 12.165 4.431
Se 9.395 5.797 4.431
Se 9.521 8.762 1.704
Se 9.521 8.762 7.158
Se 9.626 5.232 0.000
Se 11.230 1.887 4.431
```

Properties
Space group: No. 55
Raw total energy: -0.298 Ry/atom


The following is a PBE calculation of a relaxed Co2Bi8Se crystal, from OQMD via LeMat-Bulk.

Geometry as extended XYZ:
```
44
Lattice="11.186 0.000 0.000 0.000 11.186 0.000 0.000 0.000 9.564" Properties=species:S:1:pos:R:3 pbc="T T T"
Co 2.313 2.313 2.257
Co 2.313 2.313 7.307
Co 3.280 7.906 2.525
Co 3.280 7.906 7.040
Co 7.906 3.280 2.525
Co 7.906 3.280 7.040
Co 8.873 8.873 2.257
Co 8.873 8.873 7.307
Bi 0.000 0.000 3.119
Bi 0.000 0.000 6.446
Bi 0.581 7.893 1.880
Bi 0.581 7.893 7.685
Bi 1.186 1.186 0.000
Bi 2.070 2.070 4.782
Bi 2.181 9.005 4.782
Bi 2.300 5.012 2.903
Bi 2.300 5.012 6.662
Bi 3.293 10.605 1.880
Bi 3.293 10.605 7.685
Bi 3.412 3.412 0.000
Bi 3.523 7.663 0.000
Bi 4.407 6.779 4.782
Bi 5.012 2.300 2.903
Bi 5.012 2.300 6.662
Bi 5.593 5.593 1.663
Bi 5.593 5.593 7.901
Bi 6.174 8.886 2.903
Bi 6.174 8.886 6.662
Bi 6.779 4.407 4.782
Bi 7.663 3.523 0.000
Bi 7.774 7.774 0.000
Bi 7.893 0.581 1.880
Bi 7.893 0.581 7.685
Bi 8.886 6.174 2.903
Bi 8.886 6.174 6.662
Bi 9.005 2.181 4.782
Bi 9.116 9.116 4.782
Bi 10.000 10.000 0.000
Bi 10.605 3.293 1.880
Bi 10.605 3.293 7.685
Se 0.000 5.593 0.000
Se 0.000 5.593 4.782
Se 5.593 0.000 0.000
Se 5.593 0.000 4.782
```

Properties
Space group: No. 136
Raw total energy: -0.319 Ry/atom


The following is a PBE calculation of a relaxed CoBi10Se10 crystal, from OQMD via LeMat-Bulk.

Geometry as extended XYZ:
```
42
Lattice="11.275 0.000 0.000 0.000 12.712 0.000 0.000 0.000 8.825" Properties=species:S:1:pos:R:3 pbc="T T T"
Co 0.000 0.000 0.000
Co 5.637 6.356 0.000
Bi 0.000 6.356 2.128
Bi 0.000 6.356 6.697
Bi 1.493 1.033 1.882
Bi 1.493 1.033 6.943
Bi 1.493 10.590 0.000
Bi 2.808 10.539 4.412
Bi 2.829 4.183 4.412
Bi 4.145 4.234 0.000
Bi 4.144 7.389 1.882
Bi 4.144 7.389 6.943
Bi 5.637 0.000 2.128
Bi 5.637 0.000 6.697
Bi 7.131 5.324 1.882
Bi 7.131 5.324 6.943
Bi 7.130 8.479 0.000
Bi 8.446 8.529 4.412
Bi 8.467 2.173 4.412
Bi 9.782 2.122 0.000
Bi 9.782 11.680 1.882
Bi 9.782 11.680 6.943
Se 0.038 10.830 4.412
Se 1.657 7.480 0.000
Se 1.779 3.964 1.699
Se 1.779 3.964 7.126
Se 1.925 6.863 4.412
Se 3.713 0.507 4.412
Se 3.859 10.321 1.699
Se 3.859 10.321 7.126
Se 3.980 1.124 0.000
Se 5.600 4.474 4.412
Se 5.675 8.238 4.412
Se 7.295 11.588 0.000
Se 7.416 2.392 1.699
Se 7.416 2.392 7.126
Se 7.562 12.205 4.412
Se 9.350 5.849 4.412
Se 9.496 8.748 1.699
Se 9.496 8.748 7.126
Se 9.618 5.232 0.000
Se 11.237 1.882 4.412
```

Properties
Space group: No. 55
Raw total energy: -0.298 Ry/atom


The following is a PBE calculation of a relaxed Sm12Co6Bi crystal, from OQMD via LeMat-Bulk.

Geometry as extended XYZ:
```
19
Lattice="-4.962 4.962 4.962 4.962 -4.962 4.962 4.962 4.962 -4.962" Properties=species:S:1:pos:R:3 pbc="T T T"
Sm 4.962 -1.911 3.023
Sm 3.051 1.939 0.000
Sm 6.873 1.939 0.000
Sm 3.023 4.962 -1.911
Sm 1.939 0.000 3.051
Sm 4.962 1.911 3.023
Sm 0.000 3.051 1.939
Sm 3.023 4.962 1.911
Sm 1.939 0.000 6.873
Sm -1.911 3.023 4.962
Sm 1.911 3.023 4.962
Sm 0.000 6.873 1.939
Co 4.962 0.000 1.103
Co 4.962 3.859 0.000
Co 1.103 4.962 0.000
Co 3.859 0.000 4.962
Co 0.000 1.103 4.962
Co 0.000 4.962 3.859
Bi 0.000 0.000 0.000
```

Properties
Space group: No. 204
Raw total energy: -0.416 Ry/atom


The following is a PBE calculation of a relaxed CoSnBi2 crystal, from OQMD via LeMat-Bulk.

Geometry as extended XYZ:
```
4
Lattice="0.000 3.664 3.664 3.664 0.000 3.664 3.664 3.664 0.000" Properties=species:S:1:pos:R:3 pbc="T T T"
Co 0.000 0.000 0.000
Sn 5.497 5.497 5.497
Bi 1.832 1.832 1.832
Bi 3.664 3.664 3.664
```

Properties
Space group: No. 216
Raw total energy: -0.310 Ry/atom


Number 1: magnetic moment 3.447 Bohr magnetons per cell. Number 2: magnetic moment 0.034 Bohr magnetons per cell. Number 3: magnetic moment 1.235 Bohr magnetons per cell. Number 4: magnetic moment 0.001 Bohr magnetons per cell. Number 5: magnetic moment 0.018 Bohr magnetons per cell. Number 6: magnetic moment 0.040 Bohr magnetons per cell. Number 7: magnetic moment 0.052 Bohr magnetons per cell. Number 8: magnetic moment 1.421 Bohr magnetons per cell.